A geometry-optimized YMg5Sc structure, computed with GGA-PBE.

Cell: 6.0901 9.6080 6.6091 Å, 90.00 110.11 90.00°
Space group C2/m (No. 12)
Asymmetric unit:
Y: 0.0000 0.0000 0.0000 (multiplicity 2)
Mg: 0.0000 0.0000 0.5000 (multiplicity 2)
Mg: 0.1945 0.2870 0.2336 (multiplicity 8)
Sc: 0.0000 0.5000 0.5000 (multiplicity 2)

As for the total energy: -2.854 eV/atom. The calculation puts the spin magnetization at 0.00 μB per cell.